Entry 1:
This record from Alexandria describes crystalline ErPu2Al at its relaxed geometry. The functional is PBE-GGA.

Computed properties:
**ΔE to the lowest computed polymorph**: 139 meV/atom

Geometry as POSCAR:
```
ErPu2Al
1.0
3.956 0.000 0.000
0.000 3.956 0.000
0.000 0.000 6.453
Er Pu Al
1 2 1
Direct
0.000 0.000 0.000
0.500 0.500 0.276
0.500 0.500 0.724
0.000 0.000 0.500
```

---

Entry 2:
This record from Alexandria describes crystalline Er2PuAl9 at its relaxed geometry. The functional is PBE-GGA.

Computed properties:
**Calculated total energy**: -61.3 eV/cell

Geometry as POSCAR:
```
Er2PuAl9
1.0
2.757 1.592 8.789
-2.757 1.592 8.789
0.000 -3.184 8.789
Er Pu Al
2 1 9
Direct
0.141 0.141 0.141
0.859 0.859 0.859
0.000 0.000 0.000
0.078 0.587 0.587
0.335 0.335 0.335
0.413 0.413 0.922
0.413 0.922 0.413
0.500 0.500 0.500
0.587 0.078 0.587
0.587 0.587 0.078
0.665 0.665 0.665
0.922 0.413 0.413
```

---

Entry 3:
This record from Alexandria describes crystalline ErPuAl2 at its relaxed geometry. The functional is PBE-GGA.

Computed properties:
**Calculated total energy**: -27.2 eV/cell

Geometry as POSCAR:
```
ErPuAl2
1.0
4.678 0.000 0.000
0.000 4.678 0.000
0.000 0.000 4.184
Er Pu Al
1 1 2
Direct
0.000 0.000 0.000
0.500 0.500 0.000
0.000 0.500 0.500
0.500 0.000 0.500
```

---

Entry 4:
This record from Alexandria describes crystalline ErPuAl6 at its relaxed geometry. The functional is PBE-GGA.

Computed properties:
**Calculated total energy**: -44.2 eV/cell

Geometry as POSCAR:
```
ErPuAl6
1.0
6.137 0.000 0.000
-3.068 5.315 0.000
0.000 0.000 4.691
Er Pu Al
1 1 6
Direct
0.000 0.000 0.000
0.333 0.667 0.500
0.361 0.181 0.500
0.513 0.025 0.000
0.513 0.487 0.000
0.819 0.181 0.500
0.819 0.639 0.500
0.975 0.487 0.000
```

---

Entry 5:
This record from Alexandria describes crystalline ErPu2Al at its relaxed geometry. The functional is PBE-GGA.

Computed properties:
**ΔE to the lowest computed polymorph**: 204 meV/atom

Geometry as POSCAR:
```
ErPu2Al
1.0
0.000 3.691 3.691
3.691 0.000 3.691
3.691 3.691 0.000
Er Pu Al
1 2 1
Direct
0.000 0.000 0.000
0.250 0.250 0.250
0.750 0.750 0.750
0.500 0.500 0.500
```

---

Entry 6:
This record from Alexandria describes crystalline ErPuAlRu at its relaxed geometry. The functional is PBE-GGA.

Computed properties:
**Calculated total energy**: -32.7 eV/cell

Geometry as POSCAR:
```
ErPuAlRu
1.0
0.000 3.472 3.472
3.472 0.000 3.472
3.472 3.472 0.000
Er Pu Al Ru
1 1 1 1
Direct
0.000 0.000 0.000
0.500 0.500 0.500
0.250 0.250 0.250
0.750 0.750 0.750
```

---

Entry 7:
This record from Alexandria describes crystalline ErPuAlTc at its relaxed geometry. The functional is PBE-GGA.

Computed properties:
**Calculated total energy**: -33.2 eV/cell

Geometry as POSCAR:
```
ErPuAlTc
1.0
0.000 3.472 3.472
3.472 0.000 3.472
3.472 3.472 0.000
Er Pu Al Tc
1 1 1 1
Direct
0.000 0.000 0.000
0.500 0.500 0.500
0.250 0.250 0.250
0.750 0.750 0.750
```

---

Entry 8:
This record from Alexandria describes crystalline ErTmPuAl at its relaxed geometry. The functional is PBE-GGA.

Computed properties:
**Calculated total energy**: -27.1 eV/cell

Geometry as POSCAR:
```
ErTmPuAl
1.0
0.000 3.717 3.717
3.717 0.000 3.717
3.717 3.717 0.000
Er Tm Pu Al
1 1 1 1
Direct
0.000 0.000 0.000
0.250 0.250 0.250
0.500 0.500 0.500
0.750 0.750 0.750
```

---

Entry 9:
This record from Alexandria describes crystalline ErPuAl2Zn2 at its relaxed geometry. The functional is PBE-GGA.

Computed properties:
**Calculated total energy**: -30.6 eV/cell

Geometry as POSCAR:
```
ErPuAl2Zn2
1.0
4.501 0.000 0.000
-2.251 3.898 0.000
0.000 0.000 7.100
Er Pu Al Zn
1 1 2 2
Direct
0.000 0.000 0.000
0.000 0.000 0.500
0.333 0.667 0.245
0.667 0.333 0.755
0.333 0.667 0.764
0.667 0.333 0.236
```

---

Entry 10:
This record from Alexandria describes crystalline Rb3Er3AlS8 at its relaxed geometry. The functional is PBE-GGA.

Computed properties:
**ΔE_f (raw)**: -1.564 eV/atom

Geometry as POSCAR:
```
Rb3Er3AlS8
1.0
6.765 -3.903 0.000
6.765 3.903 0.000
-4.515 0.000 7.872
Rb Er Al S
3 3 1 8
Direct
0.000 0.000 0.000
0.000 0.500 0.000
0.500 0.000 0.000
0.000 0.500 0.500
0.500 0.000 0.500
0.500 0.500 0.500
0.000 0.000 0.500
0.213 0.213 0.678
0.213 0.751 0.678
0.249 0.787 0.322
0.269 0.269 0.309
0.731 0.731 0.691
0.751 0.213 0.678
0.787 0.249 0.322
0.787 0.787 0.322
```

---

Entry 11:
This record from Alexandria describes crystalline Rb2ErAlS4 at its relaxed geometry. The functional is PBE-GGA.

Computed properties:
**ΔE_f (raw)**: -1.304 eV/atom

Geometry as POSCAR:
```
Rb2ErAlS4
1.0
-4.027 4.202 5.837
4.027 -4.202 5.837
4.027 4.202 -5.837
Rb Er Al S
4 2 2 8
Direct
0.000 0.000 0.000
0.500 0.000 0.000
0.500 0.000 0.500
0.500 0.500 0.500
0.000 0.500 0.500
0.500 0.500 0.000
0.000 0.000 0.500
0.000 0.500 0.000
0.182 0.736 0.445
0.209 0.264 0.945
0.221 0.252 0.531
0.221 0.690 0.969
0.779 0.310 0.031
0.779 0.748 0.469
0.791 0.736 0.055
0.818 0.264 0.555
```

---

Entry 12:
This record from Alexandria describes crystalline RbErAlS4 at its relaxed geometry. The functional is PBE-GGA.

Computed properties:
**ΔE_f (raw)**: -1.373 eV/atom

Geometry as POSCAR:
```
RbErAlS4
1.0
6.836 0.000 0.000
0.000 5.674 0.000
-2.577 0.000 9.162
Rb Er Al S
2 2 2 8
Direct
0.242 0.250 0.458
0.758 0.750 0.542
0.246 0.250 0.942
0.754 0.750 0.058
0.246 0.750 0.166
0.754 0.250 0.834
0.051 0.750 0.315
0.078 0.750 0.930
0.494 0.514 0.802
0.494 0.986 0.802
0.506 0.014 0.198
0.506 0.486 0.198
0.922 0.250 0.070
0.949 0.250 0.685
```

---

Entry 13:
This record from Alexandria describes crystalline Rb2ErAlTe4 at its relaxed geometry. The functional is PBE-GGA.

Computed properties:
**ΔE_f (raw)**: -0.994 eV/atom

Geometry as POSCAR:
```
Rb2ErAlTe4
1.0
-4.524 4.524 3.706
4.524 -4.524 3.706
4.524 4.524 -3.706
Rb Er Al Te
2 1 1 4
Direct
0.000 0.500 0.500
0.500 0.000 0.500
0.000 0.000 0.000
0.500 0.500 0.000
0.112 0.112 0.669
0.443 0.443 0.331
0.557 0.888 0.000
0.888 0.557 0.000
```

---

Entry 14:
This record from Alexandria describes crystalline ErAl10Re2 at its relaxed geometry. The functional is PBE-GGA.

Computed properties:
**ΔE to the lowest computed polymorph**: 12 meV/atom

Geometry as POSCAR:
```
ErAl10Re2
1.0
4.590 -5.170 0.000
4.590 5.170 0.000
0.000 0.000 9.174
Er Al Re
2 20 4
Direct
0.130 0.870 0.750
0.870 0.130 0.250
0.143 0.410 0.750
0.149 0.851 0.096
0.149 0.851 0.404
0.210 0.470 0.250
0.226 0.226 0.000
0.226 0.226 0.500
0.375 0.625 0.536
0.375 0.625 0.964
0.410 0.143 0.250
0.470 0.210 0.750
0.530 0.790 0.250
0.590 0.857 0.750
0.625 0.375 0.036
0.625 0.375 0.464
0.774 0.774 0.000
0.774 0.774 0.500
0.790 0.530 0.750
0.851 0.149 0.596
0.851 0.149 0.904
0.857 0.590 0.250
0.000 0.500 0.000
0.000 0.500 0.500
0.500 0.000 0.000
0.500 0.000 0.500
```

---

Entry 15:
This record from Alexandria describes crystalline ErAl10Re2 at its relaxed geometry. The functional is PBE-GGA.

Computed properties:
**ΔE to the lowest computed polymorph**: 0 meV/atom

Geometry as POSCAR:
```
ErAl10Re2
1.0
4.653 -5.163 0.000
4.653 5.163 0.000
0.000 0.000 26.937
Er Al Re
6 60 12
Direct
0.118 0.882 0.750
0.375 0.625 0.585
0.375 0.625 0.915
0.625 0.375 0.085
0.625 0.375 0.415
0.882 0.118 0.250
0.028 0.533 0.671
0.028 0.533 0.829
0.029 0.272 0.581
0.029 0.272 0.919
0.096 0.904 0.633
0.096 0.904 0.867
0.099 0.321 0.750
0.120 0.377 0.083
0.120 0.377 0.417
0.122 0.878 0.522
0.122 0.878 0.978
0.130 0.870 0.178
0.130 0.870 0.322
0.238 0.464 0.250
0.272 0.029 0.081
0.272 0.029 0.419
0.295 0.295 0.000
0.295 0.295 0.500
0.321 0.099 0.250
0.335 0.665 0.034
0.335 0.665 0.466
0.375 0.625 0.146
0.375 0.625 0.354
0.377 0.120 0.583
0.377 0.120 0.917
0.408 0.592 0.700
0.408 0.592 0.800
0.464 0.238 0.750
0.467 0.972 0.671
0.467 0.972 0.829
0.533 0.028 0.171
0.533 0.028 0.329
0.536 0.762 0.250
0.592 0.408 0.200
0.592 0.408 0.300
0.623 0.880 0.083
0.623 0.880 0.417
0.625 0.375 0.646
0.625 0.375 0.854
0.665 0.335 0.534
0.665 0.335 0.966
0.679 0.901 0.750
0.705 0.705 0.000
0.705 0.705 0.500
0.728 0.971 0.581
0.728 0.971 0.919
0.762 0.536 0.750
0.870 0.130 0.678
0.870 0.130 0.822
0.878 0.122 0.022
0.878 0.122 0.478
0.880 0.623 0.583
0.880 0.623 0.917
0.901 0.679 0.250
0.904 0.096 0.133
0.904 0.096 0.367
0.971 0.728 0.081
0.971 0.728 0.419
0.972 0.467 0.171
0.972 0.467 0.329
0.000 0.500 0.000
0.000 0.500 0.500
0.245 0.251 0.663
0.245 0.251 0.837
0.251 0.245 0.163
0.251 0.245 0.337
0.500 0.000 0.000
0.500 0.000 0.500
0.749 0.755 0.663
0.749 0.755 0.837
0.755 0.749 0.163
0.755 0.749 0.337
```

---

Entry 16:
This record from Alexandria describes crystalline ErAl6Re at its relaxed geometry. The functional is PBE-GGA.

Computed properties:
**Calculated total energy**: -37.8 eV/cell

Geometry as POSCAR:
```
ErAl6Re
1.0
2.903 1.676 6.108
-2.903 1.676 6.108
0.000 -3.352 6.108
Er Al Re
1 6 1
Direct
0.000 0.000 0.000
0.058 0.582 0.582
0.418 0.418 0.942
0.418 0.942 0.418
0.582 0.058 0.582
0.582 0.582 0.058
0.942 0.418 0.418
0.500 0.500 0.500
```

---

Entry 17:
This record from Alexandria describes crystalline Er2Al3Re at its relaxed geometry. The functional is PBE-GGA.

Computed properties:
**Calculated total energy**: -35.4 eV/cell

Geometry as POSCAR:
```
Er2Al3Re
1.0
2.744 1.584 4.401
-2.744 1.584 4.401
0.000 -3.168 4.401
Er Al Re
2 3 1
Direct
0.129 0.129 0.129
0.871 0.871 0.871
0.000 0.500 0.500
0.500 0.000 0.500
0.500 0.500 0.000
0.500 0.500 0.500
```

---

Entry 18:
This record from Alexandria describes crystalline Er2Al5Re at its relaxed geometry. The functional is PBE-GGA.

Computed properties:
**Calculated total energy**: -42.0 eV/cell

Geometry as POSCAR:
```
Er2Al5Re
1.0
-3.186 3.186 3.627
3.186 -3.186 3.627
3.186 3.186 -3.627
Er Al Re
2 5 1
Direct
0.000 0.500 0.500
0.500 0.000 0.500
0.049 0.049 0.000
0.540 0.540 0.577
0.540 0.963 0.000
0.963 0.540 0.000
0.963 0.963 0.423
0.410 0.410 0.000
```

---

Entry 19:
This record from Alexandria describes crystalline ErAl11Re at its relaxed geometry. The functional is PBE-GGA.

Computed properties:
**Calculated total energy**: -60.6 eV/cell

Geometry as POSCAR:
```
ErAl11Re
1.0
2.638 -6.360 0.000
2.638 6.360 0.000
-2.579 0.000 6.580
Er Al Re
1 11 1
Direct
0.000 0.000 0.000
0.000 0.000 0.500
0.000 0.500 0.000
0.018 0.364 0.359
0.287 0.502 0.781
0.364 0.018 0.359
0.498 0.713 0.219
0.500 0.000 0.000
0.502 0.287 0.781
0.636 0.982 0.641
0.713 0.498 0.219
0.982 0.636 0.641
0.500 0.500 0.500
```

---

Entry 20:
This record from Alexandria describes crystalline Er4Al12Re at its relaxed geometry. The functional is PBE-GGA.

Computed properties:
**Calculated total energy**: -82.5 eV/cell

Geometry as POSCAR:
```
Er4Al12Re
1.0
-4.320 4.320 4.320
4.320 -4.320 4.320
4.320 4.320 -4.320
Er Al Re
4 12 1
Direct
0.000 0.000 0.500
0.000 0.500 0.000
0.500 0.000 0.000
0.500 0.500 0.500
0.000 0.290 0.290
0.000 0.710 0.710
0.250 0.500 0.750
0.250 0.750 0.500
0.290 0.000 0.290
0.290 0.290 0.000
0.500 0.250 0.750
0.500 0.750 0.250
0.710 0.000 0.710
0.710 0.710 0.000
0.750 0.250 0.500
0.750 0.500 0.250
0.000 0.000 0.000
```

---

M_tot list, top to bottom, in μB per formula unit: 12.0 6.0 5.9 5.5 12.0 4.9 4.8 6.3 6.0 0.0 0.0 0.2 0.0 0.0 0.0 0.0 0.0 0.0 0.0 0.0